A plane-wave DFT calculation with PBE was carried out for a relaxed CuSiTe crystal.

Volume   249 Å³/cell
ρ   5.9 g/cm3
Raw total energy   -3.823 eV per atom

a b c (Å): 4.285 5.092 11.401
angles (deg): 90.00 90.00 90.00
Space group Fmm2 (No. 42)
Symmetry-distinct sites (fractional):
Cu  0.000  0.000  0.000 (multiplicity 4)
Si  0.000  0.000  0.585 (multiplicity 4)
Te  0.000  0.000  0.337 (multiplicity 4)


A plane-wave DFT calculation with PBE was carried out for a relaxed Ti3CuNi2 crystal.

Volume   175 Å³/cell
ρ   6.2 g/cm3
Raw total energy   -6.481 eV per atom
E_form   76 meV per atom

a b c (Å): 2.563 4.770 14.279
angles (deg): 90.00 90.00 90.00
Space group Immm (No. 71)
Symmetry-distinct sites (fractional):
Ti  0.000  0.000  0.000 (multiplicity 2)
Ti  0.000  0.500  0.183 (multiplicity 4)
Cu  0.000  0.500  0.000 (multiplicity 2)
Ni  0.000  0.500  0.348 (multiplicity 4)


A plane-wave DFT calculation with PBE was carried out for a relaxed ZrMo2Br crystal.

Volume   147 Å³/cell
ρ   8.2 g/cm3
Raw total energy   -7.370 eV per atom

a b c (Å): 5.186 9.104 3.121
angles (deg): 90.00 90.00 90.00
Space group Cmmm (No. 65)
Symmetry-distinct sites (fractional):
Zr  0.000  0.000  0.000 (multiplicity 2)
Mo  0.250  0.250  0.500 (multiplicity 4)
Br  0.000  0.500  0.000 (multiplicity 2)


A plane-wave DFT calculation with PBE was carried out for a relaxed Pm3Pr2Ho6Pu crystal.

Volume   773 Å³/cell
ρ   8.4 g/cm3
Raw total energy   -5.422 eV per atom
E_form   45 meV per atom

a b c (Å): 6.210 10.763 11.752
angles (deg): 90.00 100.17 90.00
Space group C2/m (No. 12)
Symmetry-distinct sites (fractional):
Pm  0.000  0.000  0.000 (multiplicity 2)
Pm  0.000  0.333  0.000 (multiplicity 4)
Pr  0.000  0.167  0.500 (multiplicity 4)
Ho  0.246  0.500  0.251 (multiplicity 4)
Ho  0.247  0.336  0.748 (multiplicity 8)
Pu  0.000  0.500  0.500 (multiplicity 2)